The following is a PBE-GGA calculation of crystalline Cs2NaTlAu at its relaxed geometry, from Alexandria via LeMat-Bulk.

energy above the most stable polymorph in this dataset: 0.000 eV per atom
total energy: -1.79 eV per atom
ΔH_f (0 K): -59 meV per atom
calculated volume: 277 Å³ per cell

Lattice parameters (Å, degrees): 6.917 6.917 5.800 90.00 90.00 90.00
Space group P4/mmm (No. 123)
Inequivalent atoms, fractional coordinates:
1 Cs 0.000 0.500 0.000 [2 per cell]
2 Na 0.000 0.000 0.500 [1 per cell]
3 Tl 0.500 0.500 0.500 [1 per cell]
4 Au 0.500 0.500 0.000 [1 per cell]

The following is a PBE-GGA calculation of crystalline CsNaTlAu2 at its relaxed geometry, from Alexandria via LeMat-Bulk.

total energy: -2.46 eV per atom
ΔH_f (0 K): -238 meV per atom
calculated volume: 310 Å³ per cell

Lattice parameters (Å, degrees): 4.967 4.967 12.555 90.00 90.00 90.00
Space group I-4m2 (No. 119)
Inequivalent atoms, fractional coordinates:
1 Cs 0.000 0.000 0.000 [2 per cell]
2 Na 0.000 0.500 0.750 [2 per cell]
3 Tl 0.000 0.500 0.250 [2 per cell]
4 Au 0.000 0.000 0.388 [4 per cell]

The following is a PBE-GGA calculation of crystalline Cs2Na2TlAu2 at its relaxed geometry, from Alexandria via LeMat-Bulk.

total energy: -2.08 eV per atom
ΔH_f (0 K): -183 meV per atom
calculated volume: 566 Å³ per cell

Lattice parameters (Å, degrees): 14.914 5.022 9.759 90.00 129.22 90.00
Space group C2/m (No. 12)
Inequivalent atoms, fractional coordinates:
1 Cs 0.194 0.000 0.252 [4 per cell]
2 Na 0.057 0.500 0.764 [4 per cell]
3 Tl 0.000 0.000 0.500 [2 per cell]
4 Au 0.199 0.000 0.888 [4 per cell]